NaTbSnPt GGA-PBE optimized geometry; raw total energy = -0.1725 hartree per atom; ρ = 10.0 g cm⁻³
1.0
4.884 0.000 0.000
2.442 4.229 0.000
2.442 1.410 3.988
Pt Na Sn Tb
1 1 1 1
Direct
0.750 0.750 0.750 Pt
0.250 0.250 0.250 Na
0.000 0.000 0.000 Sn
0.500 0.500 0.500 Tb



Na2TcSnPt GGA-PBE optimized geometry; raw total energy = -0.1247 hartree per atom; DOS at the Fermi energy = 0.605 states/eV/atom; ρ = 5.3 g cm⁻³
1.0
-0.091 0.870 -5.214
-0.954 -5.020 -0.821
-5.195 0.946 0.248
Na Pt Tc Sn
2 1 1 1
Direct
0.500 0.000 0.000 Na
0.000 0.000 0.500 Na
0.500 0.500 0.500 Pt
0.000 0.000 0.000 Tc
0.000 0.500 0.000 Sn



NaTlSnPt GGA-PBE optimized geometry; raw total energy = -0.1320 hartree per atom; DOS at the Fermi energy = 0.578 states/eV/atom; ρ = 10.7 g cm⁻³
1.0
-3.896 2.755 1.206
-3.326 -1.708 3.201
-0.323 1.969 4.499
Tl Pt Sn Na
1 1 1 1
Direct
0.250 0.250 0.250 Tl
0.000 0.000 0.000 Pt
0.750 0.750 0.750 Sn
0.500 0.500 0.500 Na



NaTmSnPt GGA-PBE optimized geometry; raw total energy = -0.1704 hartree per atom; DOS at the Fermi energy = 0.002 states/eV/atom; ρ = 10.5 g cm⁻³
1.0
-3.282 -3.390 1.079
1.377 -4.604 0.579
-0.050 -2.005 4.405
Na Sn Pt Tm
1 1 1 1
Direct
0.750 0.750 0.750 Na
0.000 0.000 0.000 Sn
0.250 0.250 0.250 Pt
0.500 0.500 0.500 Tm



NaZnSnPt GGA-PBE optimized geometry; raw total energy = -0.1268 hartree per atom; DOS at the Fermi energy = 0.347 states/eV/atom; ρ = 9.2 g cm⁻³
1.0
-1.521 -4.298 -1.048
2.960 -3.621 0.113
-0.383 -3.230 3.362
Zn Sn Na Pt
1 1 1 1
Direct
0.250 0.250 0.250 Zn
0.750 0.750 0.750 Sn
0.000 0.000 0.000 Na
0.500 0.500 0.500 Pt



NaSr5Pt GGA-PBE optimized geometry; raw total energy = -0.0925 hartree per atom; DOS at the Fermi energy = 0.731 states/eV/atom; ρ = 3.4 g cm⁻³
1.0
8.028 0.783 -0.034
3.289 7.365 -0.034
4.069 2.929 11.474
Sr Pt Na
10 2 2
Direct
0.812 0.429 0.466 Sr
0.571 0.188 0.034 Sr
0.621 0.988 0.621 Sr
0.033 0.967 0.750 Sr
0.988 0.621 0.121 Sr
0.188 0.571 0.534 Sr
0.379 0.012 0.379 Sr
0.967 0.033 0.250 Sr
0.429 0.812 0.966 Sr
0.012 0.379 0.879 Sr
0.000 0.000 0.000 Pt
0.000 0.000 0.500 Pt
0.503 0.497 0.750 Na
0.497 0.503 0.250 Na



Na2SrPt2 GGA-PBE optimized geometry; DOS at the Fermi energy = 0.139 states/eV/atom; energy above the most stable polymorph in this dataset = 0 meV per atom; ρ = 7.1 g cm⁻³
1.0
4.264 0.000 0.000
0.000 4.264 0.000
2.132 2.132 6.710
Na Pt Sr
2 2 1
Direct
0.750 0.250 0.500 Na
0.250 0.750 0.500 Na
0.402 0.402 0.196 Pt
0.598 0.598 0.804 Pt
0.000 0.000 0.000 Sr



Na2Sr5Pt2 GGA-PBE optimized geometry; raw total energy = -0.1104 hartree per atom; DOS at the Fermi energy = 0.586 states/eV/atom; ρ = 4.2 g cm⁻³
1.0
7.823 0.000 2.840
0.000 8.289 0.000
0.494 0.000 10.835
Sr Pt Na
10 4 4
Direct
0.000 0.000 0.000 Sr
0.566 0.833 0.204 Sr
0.934 0.333 0.796 Sr
0.230 0.167 0.204 Sr
0.270 0.667 0.796 Sr
0.434 0.167 0.796 Sr
0.500 0.500 0.000 Sr
0.066 0.667 0.204 Sr
0.770 0.833 0.796 Sr
0.730 0.333 0.204 Sr
0.372 0.872 0.000 Pt
0.872 0.628 0.000 Pt
0.128 0.372 0.000 Pt
0.628 0.128 0.000 Pt
0.228 0.000 0.544 Na
0.728 0.500 0.544 Na
0.272 0.500 0.456 Na
0.772 0.000 0.456 Na